No. 1
Density functional theory data (GGA-PBE) for a relaxed YThGaRh crystal.

Calculated values
Energy of formation, eV/atom: -0.5716
Density, g cm⁻³: 8.9

Cell lengths 7.174, 7.174, 7.174 Å; angles 90.00, 90.00, 90.00 degrees
Space group F-43m (No. 216)
One atom of each set of equivalent atoms:
Y  0.000  0.000  0.000
Th  0.000  0.000  0.500
Ga  0.250  0.250  0.250
Rh  0.250  0.250  0.750

=====

No. 2
Density functional theory data (GGA-PBE) for a relaxed ThZnGa3Rh crystal.

Calculated values
Energy of formation, eV/atom: -0.2487
Density, g cm⁻³: 8.6

Cell lengths 6.639, 12.865, 5.521 Å; angles 90.00, 90.00, 90.00 degrees
Space group Cmcm (No. 63)
One atom of each set of equivalent atoms:
Th  0.000  0.207  0.250
Zn  0.000  0.434  0.250
Ga  0.000  0.357  0.750
Ga  0.192  0.000  0.000
Rh  0.000  0.162  0.750

=====

No. 3
Density functional theory data (GGA-PBE) for a relaxed ThZnGaRh2 crystal.

Calculated values
Energy of formation, eV/atom: -0.5639
Density, g cm⁻³: 10.0

Cell lengths 5.225, 13.336, 5.438 Å; angles 90.00, 90.00, 90.00 degrees
Space group Cmme (No. 67)
One atom of each set of equivalent atoms:
Th  0.000  0.250  0.235
Zn  0.000  0.000  0.000
Ga  0.250  0.000  0.500
Rh  0.000  0.146  0.704

=====

No. 4
Density functional theory data (GGA-PBE) for a relaxed Th2ZnGa2Rh5 crystal.

Calculated values
Energy of formation, eV/atom: -0.7163
Density, g cm⁻³: 11.1

Cell lengths 9.858, 9.858, 3.658 Å; angles 90.00, 90.00, 90.00 degrees
Space group P4/mbm (No. 127)
One atom of each set of equivalent atoms:
Th  0.178  0.322  0.000
Zn  0.000  0.000  0.000
Ga  0.121  0.621  0.000
Rh  0.000  0.500  0.500
Rh  0.070  0.794  0.500

=====

No. 5
Density functional theory data (GGA-PBE) for a relaxed Th2Zn2GaRh5 crystal.

Calculated values
Energy of formation, eV/atom: -0.6768
Density, g cm⁻³: 11.2

Cell lengths 9.729, 9.729, 3.685 Å; angles 90.00, 90.00, 90.00 degrees
Space group P4/mbm (No. 127)
One atom of each set of equivalent atoms:
Th  0.177  0.323  0.000
Zn  0.122  0.622  0.000
Ga  0.000  0.000  0.000
Rh  0.000  0.500  0.500
Rh  0.071  0.799  0.500

=====

No. 6
Density functional theory data (GGA-PBE) for a relaxed Ti6GaRh2 crystal.

Calculated values
Energy of formation, eV/atom: -0.2084
Density, g cm⁻³: 6.4

Cell lengths 13.718, 7.595, 2.805 Å; angles 90.00, 97.22, 90.00 degrees
Space group C2/m (No. 12)
One atom of each set of equivalent atoms:
Ti  0.000  0.175  0.000
Ti  0.171  0.320  0.760
Ga  0.000  0.500  0.500
Rh  0.165  0.000  0.519

=====

No. 7
Density functional theory data (GGA-PBE) for a relaxed Ti6GaRh crystal.

Calculated values
Energy of formation, eV/atom: -0.2945
Density, g cm⁻³: 5.9

Cell lengths 4.314, 4.314, 13.993 Å; angles 90.00, 90.00, 90.00 degrees
Space group I4/mmm (No. 139)
One atom of each set of equivalent atoms:
Ti  0.000  0.000  0.249
Ti  0.000  0.500  0.120
Ga  0.000  0.000  0.500
Rh  0.000  0.000  0.000

=====

No. 8
Density functional theory data (GGA-PBE) for a relaxed TiGa2Rh crystal.

Calculated values
Energy of formation, eV/atom: -0.4633
Density, g cm⁻³: 8.0

Cell lengths 6.210, 6.210, 6.210 Å; angles 90.00, 90.00, 90.00 degrees
Space group Fm-3m (No. 225)
One atom of each set of equivalent atoms:
Ti  0.000  0.000  0.000
Ga  0.250  0.250  0.250
Rh  0.000  0.000  0.500

=====

Question: What is the energy of formation in the seventh record?
Answer: -0.2945 eV/atom